No. 1
VASP calculation (PBE) on crystalline Na4Ac3ScS8 at its relaxed geometry.

Results
M_tot	0.00	μB/f.u.
energy relative to the elements, uncorrected	-1.752	eV/atom
total energy	-5.3115	eV/atom

```
Na4Ac3ScS8
1.0
-5.151 5.423 -3.942
2.449 -3.011 -7.341
-3.054 -5.152 5.967
Na Ac S Sc
4 3 8 1
Cartesian
0.000 0.000 0.000
-1.527 -2.576 2.984
-2.575 2.711 -1.971
-4.102 0.135 1.012
-0.302 -4.082 -0.687
-1.351 1.206 -5.642
-2.877 -1.370 -2.658
-2.448 -6.103 -0.282
-0.796 -3.314 -3.517
-2.205 -1.990 0.144
-3.307 3.363 -5.034
-3.549 -0.750 -5.460
-0.515 0.423 -2.897
-4.959 0.573 -1.799
-5.240 -3.163 -2.420
1.225 -1.505 -3.671
```

No. 2
VASP calculation (PBE) on crystalline Hf3Ir2Au3 at its relaxed geometry.

Results
energy relative to the elements	-712	meV per atom
M_tot	0.00	μB/f.u.
total energy	-7.8891	eV/atom

```
Hf3Ir2Au3
1.0
-1.733 2.616 -0.315
-1.700 -1.958 -6.905
-4.279 -2.160 5.606
Au Hf Ir
3 3 2
Cartesian
-0.389 -0.448 -1.578
-0.978 -0.494 1.282
-4.613 -3.177 -1.002
-1.872 0.151 -4.238
-3.396 0.031 3.156
-3.312 -0.376 -0.689
-3.420 -2.093 1.436
-2.560 -2.025 -2.735
```